VASP calculation (PBE-GGA) on a geometry-optimized V6PH3 structure.

D(E_F) ... 7.00 states/eV/f.u.
Volume ... 199.75 Å³ per cell
Magnetization ... 0.000 μB/cell
Mass density ... 5.6 g/cm³
Total DFT energy (no corrections) ... -145.3 eV/cell

Cell and atoms, written as CIF:
```
data_V6PH3
_cell_length_a 8.547
_cell_length_b 3.036
_cell_length_c 8.768
_cell_angle_alpha 90.00
_cell_angle_beta 118.61
_cell_angle_gamma 90.00
_space_group_name_H-M_alt 'P 1 21/m 1'
_space_group_IT_number 11
_space_group_name_Hall '-P 2yb'
loop_
_atom_site_label
_atom_site_fract_x
_atom_site_fract_y
_atom_site_fract_z
_atom_site_occupancy
V1 0.032 0.250 0.228 1
V2 0.140 0.750 0.526 1
V3 0.193 0.250 0.058 1
V4 0.348 0.750 0.396 1
V5 0.369 0.750 0.916 1
V6 0.445 0.250 0.706 1
P1 0.159 0.250 0.738 1
H1 0.141 0.750 0.172 1
H2 0.247 0.250 0.461 1
H3 0.446 0.250 0.131 1
```